This record from Alexandria describes a relaxed structure of GaCoPdPt. The functional is PBE.

Results
Calculated total energy, eV per atom: -5.62
Total magnetization, μB per atom: 0.394
Crystal system: cubic
E_form, meV per atom: -274
N(E_F), states/eV/f.u.: 6.68

Cell and atoms, written as CIF:
```
data_GaCoPdPt
_chemical_formula_sum 'Ga4 Co4 Pd4 Pt4'
_cell_length_a 6.097
_cell_length_b 6.097
_cell_length_c 6.097
_cell_angle_alpha 90.00
_cell_angle_beta 90.00
_cell_angle_gamma 90.00
_symmetry_space_group_name_H-M 'F -4 3 m'
_symmetry_Int_Tables_number 216
_symmetry_space_group_name_Hall 'F -4 2 3'
loop_
_atom_site_label
_atom_site_type_symbol
_atom_site_fract_x
_atom_site_fract_y
_atom_site_fract_z
_atom_site_occupancy
Ga1 Ga 0.000 0.000 0.000 1
Co1 Co 0.000 0.000 0.500 1
Pd1 Pd 0.250 0.250 0.250 1
Pt1 Pt 0.250 0.250 0.750 1
```